The following is a DFT calculation (PBE) of a relaxed TaCuRe2 crystal.

Structure (POSCAR):
```
TaCuRe2
1.0
4.869 -1.612 0.000
4.869 1.612 0.000
-1.912 0.000 3.876
Ta Cu Re
1 1 2
Direct
0.000 0.000 0.000
0.241 0.241 0.740
0.485 0.485 0.486
0.748 0.748 0.247
```

- Excess energy over the best structure of this formula in the dataset: 1.56 kcal/mol of atoms
- Energy relative to the elements: 0.12 eV per atom
- N(E_F): 2.17 states/eV per cell
- Total moment: 0.000 μB per cell
- Space-group type: Cm (8)
- DFT total energy: -10.09 eV/atom